Material: CaAg2Pt
Method: DFT, GGA-PBEsol
State: optimized geometry

Properties
* DOS at the Fermi energy: 2.1 states/eV/cell
* space group: No. 139
* VASP energy: -4.2897 eV/atom

a = 4.0396 Å, b = 4.0396 Å, c = 8.7985 Å
α = 90.00°, β = 90.00°, γ = 90.00°
Last column: nearest neighbours and their distance in Å.
Fractional positions:
Ca 0.0000 0.0000 0.0000  4 Pt 2.86, 8 Ag 2.99
Ca 0.5000 0.5000 0.5000  4 Pt 2.86, 8 Ag 2.99
Ag 0.0000 0.5000 0.2500  4 Ag 2.86, 4 Ca 2.99, 4 Pt 2.99
Ag 0.0000 0.5000 0.7500  4 Ag 2.86, 4 Ca 2.99, 4 Pt 2.99
Ag 0.5000 0.0000 0.2500  4 Ag 2.86, 4 Ca 2.99, 4 Pt 2.99
Ag 0.5000 0.0000 0.7500  4 Ag 2.86, 4 Ca 2.99, 4 Pt 2.99
Pt 0.0000 0.0000 0.5000  4 Ca 2.86, 8 Ag 2.99
Pt 0.5000 0.5000 0.0000  4 Ca 2.86, 8 Ag 2.99

Material: ReRh
Method: DFT, GGA-PBEsol
State: optimized geometry

Properties
* DOS at the Fermi energy: 5.0 states/eV/cell
* E above lowest polymorph: 0.0209 eV per atom
* space group: No. 62
* VASP energy: -10.9171 eV/atom

a = 4.6820 Å, b = 4.3226 Å, c = 5.4920 Å
α = 90.00°, β = 90.00°, γ = 90.00°
Last column: nearest neighbours and their distance in Å.
Fractional positions:
Re 0.0765 0.2500 0.1254  4 Re 2.66-2.71, 8 Rh 2.66-2.75
Re 0.4235 0.7500 0.6254  4 Re 2.66-2.71, 8 Rh 2.66-2.75
Re 0.5765 0.2500 0.3746  4 Re 2.66-2.71, 8 Rh 2.66-2.75
Re 0.9235 0.7500 0.8746  4 Re 2.66-2.71, 8 Rh 2.66-2.75
Rh 0.0795 0.2500 0.6247  8 Re 2.66-2.75, 4 Rh 2.66-2.72
Rh 0.4205 0.7500 0.1247  8 Re 2.66-2.75, 4 Rh 2.66-2.72
Rh 0.5795 0.2500 0.8753  8 Re 2.66-2.75, 4 Rh 2.66-2.72
Rh 0.9205 0.7500 0.3753  8 Re 2.66-2.75, 4 Rh 2.66-2.72

Material: CdHgAu2
Method: DFT, GGA-PBEsol
State: optimized geometry

Properties
* DOS at the Fermi energy: 1.2 states/eV/cell
* space group: No. 10
* VASP energy: -2.4576 eV/atom

a = 3.0896 Å, b = 3.8644 Å, c = 6.1864 Å
α = 90.00°, β = 90.13°, γ = 90.00°
Last column: nearest neighbours and their distance in Å.
Fractional positions:
Cd 0.0000 0.0000 0.0000  8 Au 2.89-2.90, 2 Cd 3.09, 2 Hg 3.09
Hg 0.0000 0.0000 0.5000  8 Au 2.94, 2 Hg 3.09, 2 Cd 3.09
Au 0.4994 0.5000 0.7570  4 Cd 2.89-2.90, 4 Hg 2.94, 4 Au 3.01-3.18
Au 0.5006 0.5000 0.2430  4 Cd 2.89-2.90, 4 Hg 2.94, 4 Au 3.01-3.18

DOS at the Fermi energy of number 3 (CdHgAu2)? 1.2 states/eV/cell